VASP calculation (PBE-GGA) on an optimized crystal structure of ZnCdOs2.

Computed properties:
D(E_F) = 0.533 states/eV per atom
Total magnetic moment = 0.00 μB/f.u.
Relative energy among the computed polymorphs = 0.000 eV/f.u.
Formation enthalpy at 0 K = 0.170 eV/atom
Space group = P4mm (99)

```
data_ZnCdOs2
_cell_length_a 2.837
_cell_length_b 2.837
_cell_length_c 7.985
_cell_angle_alpha 90.00
_cell_angle_beta 90.00
_cell_angle_gamma 90.00
_space_group_name_H-M_alt 'P 1'
_space_group_IT_number 1
_space_group_name_Hall 'P 1'
loop_
_atom_site_label
_atom_site_type_symbol
_atom_site_fract_x
_atom_site_fract_y
_atom_site_fract_z
_atom_site_occupancy
Cd1 Cd 0.500 0.500 0.758 1
Os1 Os 0.000 0.000 0.033 1
Os2 Os 0.500 0.500 0.237 1
Zn1 Zn 0.000 0.000 0.472 1
```

---

VASP calculation (PBE-GGA) on an optimized crystal structure of Zn2CdOs.

Computed properties:
D(E_F) = 0.626 states/eV per atom
Total magnetic moment = 0.00 μB/f.u.
Formation enthalpy at 0 K = 0.341 eV/atom
Space group = Cmm2 (35)

```
data_Zn2CdOs
_cell_length_a 2.798
_cell_length_b 2.798
_cell_length_c 9.530
_cell_angle_alpha 90.00
_cell_angle_beta 90.00
_cell_angle_gamma 119.33
_space_group_name_H-M_alt 'P 1'
_space_group_IT_number 1
_space_group_name_Hall 'P 1'
loop_
_atom_site_label
_atom_site_type_symbol
_atom_site_fract_x
_atom_site_fract_y
_atom_site_fract_z
_atom_site_occupancy
Cd1 Cd 0.000 0.000 0.503 1
Os1 Os 0.500 0.500 0.768 1
Zn1 Zn 0.000 0.000 0.996 1
Zn2 Zn 0.500 0.500 0.232 1
```

---

VASP calculation (PBE-GGA) on an optimized crystal structure of Zn2CdOs.

Computed properties:
D(E_F) = 0.471 states/eV per atom
Total magnetic moment = 0.00 μB/f.u.
Formation enthalpy at 0 K = 0.284 eV/atom
Space group = C2/m (12)

```
data_Zn2CdOs
_cell_length_a 4.769
_cell_length_b 4.769
_cell_length_c 5.167
_cell_angle_alpha 81.48
_cell_angle_beta 81.48
_cell_angle_gamma 33.63
_space_group_name_H-M_alt 'P 1'
_space_group_IT_number 1
_space_group_name_Hall 'P 1'
loop_
_atom_site_label
_atom_site_type_symbol
_atom_site_fract_x
_atom_site_fract_y
_atom_site_fract_z
_atom_site_occupancy
Cd1 Cd 0.750 0.750 0.750 1
Os1 Os 0.250 0.250 0.250 1
Zn1 Zn 0.991 0.991 0.030 1
Zn2 Zn 0.509 0.509 0.470 1
```

---

VASP calculation (PBE-GGA) on an optimized crystal structure of ZnCdOs2.

Computed properties:
D(E_F) = 0.770 states/eV per atom
Total magnetic moment = 0.00 μB/f.u.
Relative energy among the computed polymorphs = 1.202 eV/f.u.
Formation enthalpy at 0 K = 0.471 eV/atom
Space group = C2/m (12)

```
data_ZnCdOs2
_cell_length_a 4.834
_cell_length_b 4.834
_cell_length_c 4.892
_cell_angle_alpha 78.84
_cell_angle_beta 78.84
_cell_angle_gamma 33.91
_space_group_name_H-M_alt 'P 1'
_space_group_IT_number 1
_space_group_name_Hall 'P 1'
loop_
_atom_site_label
_atom_site_type_symbol
_atom_site_fract_x
_atom_site_fract_y
_atom_site_fract_z
_atom_site_occupancy
Cd1 Cd 0.250 0.250 0.250 1
Os1 Os 0.009 0.009 0.972 1
Os2 Os 0.491 0.491 0.528 1
Zn1 Zn 0.750 0.750 0.750 1
```